Here is crystalline NdMgSi2Os2 at its relaxed geometry from the Alexandria database. Energies are from PBE.

The space group is P-3m1 (No. 164) and the conventional cell measures 4.2508, 4.2508 and 6.7993 Å, with angles of 90.00, 90.00 and 120.00 degrees. The inequivalent atoms are Nd at (0.0000, 0.0000, 0.0000), Mg at (0.0000, 0.0000, 0.5000), Si at (0.3333, 0.6667, 0.2897) and Os at (0.3333, 0.6667, 0.6523).

The calculation puts the uncorrected formation energy at -0.467 eV per atom.

Here is crystalline BaScP2 at its relaxed geometry from the Alexandria database. Energies are from PBE.

The space group is C2/m (No. 12) and the conventional cell measures 7.176, 4.154 and 7.305 Å, with angles of 90.00, 109.21 and 90.00 degrees. The inequivalent atoms are Ba at (0.000, 0.000, 0.000), Sc at (0.000, 0.500, 0.500) and P at (0.229, 0.000, 0.686).

As for the offset from the most stable computed form: 0.000 eV/atom. The energy of formation is -988 meV/atom.

Here is crystalline ZrBe2Au at its relaxed geometry from the Alexandria database. Energies are from PBE.

The space group is C2/m (No. 12) and the conventional cell measures 6.776, 3.895 and 4.952 Å, with angles of 90.00, 117.03 and 90.00 degrees. The inequivalent atoms are Zr at (0.000, 0.000, 0.000), Be at (0.211, 0.000, 0.632) and Au at (0.000, 0.500, 0.500).

As for the offset from the most stable computed form: 0.081 eV/atom. The energy of formation is -273 meV/atom.

Here is crystalline PbINO2 at its relaxed geometry from the Alexandria database. Energies are from PBE.

The space group is P4/mmm (No. 123) and the conventional cell measures 4.217, 4.217 and 6.506 Å, with angles of 90.00, 90.00 and 90.00 degrees. The inequivalent atoms are Pb at (0.000, 0.000, 0.000), I at (0.000, 0.000, 0.500), N at (0.500, 0.500, 0.500) and O at (0.000, 0.500, 0.000).

The calculation puts the uncorrected formation energy at 0.935 eV per atom.

Here is crystalline Fe2PdPt6 at its relaxed geometry from the Alexandria database. Energies are from PBE.

The space group is C2/m (No. 12) and the conventional cell measures 8.772, 3.916 and 8.310 Å, with angles of 90.00, 109.12 and 90.00 degrees. The inequivalent atoms are Fe at (0.163, 0.000, 0.059), Pd at (0.000, 0.500, 0.500), Pt at (0.012, 0.500, 0.844), Pt at (0.165, 0.000, 0.384) and Pt at (0.178, 0.000, 0.740).

As for the offset from the most stable computed form: 0.012 eV/atom. The energy of formation is -165 meV/atom.

Here is crystalline CdS2F at its relaxed geometry from the Alexandria database. Energies are from PBE.

The space group is I-42d (No. 122) and the conventional cell measures 3.564, 3.564 and 24.212 Å, with angles of 90.00, 90.00 and 90.00 degrees. The inequivalent atoms are Cd at (0.000, 0.000, 0.000), S at (0.158, 0.250, 0.625) and F at (0.000, 0.000, 0.500).

The calculation puts the uncorrected formation energy at -0.451 eV per atom. As for the offset from the most stable computed form: 0.000 eV/atom.

| no. | energy (eV per formula unit) |
| --- | --- |
| 1 | -42.5 |
| 2 | -23.0 |
| 3 | -20.4 |
| 4 | -18.8 |
| 5 | -59.8 |
| 6 | -12.8 |